[1]
Ce2TcRhN5 | PBE-GGA | relaxed

Calculated values
Spin magnetization   0.0 μB/f.u.
Formation energy from raw total energies   -0.597 eV/atom
Symmetry   Cmc2_1, No. 36
Energy   -8.509 eV/atom

```
data_Ce2TcRhN5
_chemical_formula_sum 'Ce4 Tc2 Rh2 N10'
_cell_length_a 3.3446
_cell_length_b 6.6755
_cell_length_c 10.2087
_cell_angle_alpha 90.00
_cell_angle_beta 90.00
_cell_angle_gamma 104.51
_space_group_name_H-M_alt 'P 1'
_space_group_IT_number 1
loop_
_space_group_symop_operation_xyz
'x,y,z'
loop_
_atom_site_label
_atom_site_fract_x
_atom_site_fract_y
_atom_site_fract_z
N1 0.6786 0.3572 0.8751
N2 0.7214 0.4427 0.1451
N3 0.3656 0.7312 0.0000
N4 0.0623 0.1247 0.0681
N5 0.5169 0.0339 0.2653
N6 0.2786 0.5573 0.6451
N7 0.9377 0.8753 0.5681
N8 0.4831 0.9661 0.7653
N9 0.3214 0.6428 0.3751
N10 0.6344 0.2688 0.5000
Ce1 0.8489 0.6977 0.8057
Ce2 0.1017 0.2035 0.6865
Ce3 0.1511 0.3023 0.3057
Ce4 0.8983 0.7965 0.1865
Rh1 0.5264 0.0529 0.9533
Rh2 0.4736 0.9471 0.4533
Tc1 0.2089 0.4178 0.0248
Tc2 0.7911 0.5822 0.5248
```



[2]
Ce2ThRhN4 | PBE-GGA | relaxed

Calculated values
Spin magnetization   0.0 μB/f.u.
Formation energy from raw total energies   -1.166 eV/atom
Symmetry   Cmcm, No. 63
Energy   -8.658 eV/atom

```
data_Ce2ThRhN4
_chemical_formula_sum 'Ce4 Th2 Rh2 N8'
_cell_length_a 3.4673
_cell_length_b 6.1658
_cell_length_c 11.8061
_cell_angle_alpha 90.00
_cell_angle_beta 90.00
_cell_angle_gamma 106.33
_space_group_name_H-M_alt 'P 1'
_space_group_IT_number 1
loop_
_space_group_symop_operation_xyz
'x,y,z'
loop_
_atom_site_label
_atom_site_fract_x
_atom_site_fract_y
_atom_site_fract_z
N1 0.7186 0.4373 0.8776
N2 0.0000 0.0000 0.5000
N3 0.2814 0.5627 0.3776
N4 0.7186 0.4373 0.6224
N5 0.4607 0.9215 0.7500
N6 0.5393 0.0785 0.2500
N7 0.2814 0.5627 0.1224
N8 0.0000 0.0000 0.0000
Th1 0.8886 0.7772 0.2500
Th2 0.1114 0.2228 0.7500
Rh1 0.8502 0.7004 0.7500
Rh2 0.1498 0.2996 0.2500
Ce1 0.3707 0.7414 0.5572
Ce2 0.6293 0.2586 0.4428
Ce3 0.3707 0.7414 0.9428
Ce4 0.6293 0.2586 0.0572
```



[3]
CeTh2RhN4 | PBE-GGA | relaxed

Calculated values
Spin magnetization   0.0 μB/f.u.
Formation energy from raw total energies   -1.158 eV/atom
Symmetry   Cmcm, No. 63
Energy   -8.837 eV/atom

```
data_CeTh2RhN4
_chemical_formula_sum 'Ce2 Th4 Rh2 N8'
_cell_length_a 3.5104
_cell_length_b 6.2123
_cell_length_c 12.0720
_cell_angle_alpha 90.00
_cell_angle_beta 90.00
_cell_angle_gamma 106.41
_space_group_name_H-M_alt 'P 1'
_space_group_IT_number 1
loop_
_space_group_symop_operation_xyz
'x,y,z'
loop_
_atom_site_label
_atom_site_fract_x
_atom_site_fract_y
_atom_site_fract_z
N1 0.4650 0.9299 0.7500
N2 0.7201 0.4402 0.8775
N3 0.0000 0.0000 0.0000
N4 0.5350 0.0701 0.2500
N5 0.2799 0.5598 0.3775
N6 0.2799 0.5598 0.1225
N7 0.7201 0.4402 0.6225
N8 0.0000 0.0000 0.5000
Rh1 0.1497 0.2994 0.2500
Rh2 0.8503 0.7006 0.7500
Th1 0.6301 0.2601 0.4412
Th2 0.6301 0.2601 0.0588
Th3 0.3699 0.7399 0.5588
Th4 0.3699 0.7399 0.9412
Ce1 0.1111 0.2221 0.7500
Ce2 0.8889 0.7779 0.2500
```



Number 1 is which compound?
Ce2TcRhN5



Which of these has the highest energy?
Ce2TcRhN5